A relaxed structure of La2Sc2Si2O. Source: the Alexandria database, functional PBE-GGA.

Lattice parameters (Å, degrees): 4.3301 4.3301 8.6229 104.54 104.54 90.00
Last column: nearest neighbours and their distance in Å.
Fractional positions:
La (0.1731, 0.1731, 0.3461)  1 O 2.79
La (0.8269, 0.8269, 0.6539)  1 O 2.79
Sc (0.0000, 0.5000, 0.0000)  2 O 2.17
Sc (0.5000, 0.0000, 0.0000)  2 O 2.17
Si (0.3785, 0.3785, 0.7569)  4 Sc 2.92, 4 La 3.17
Si (0.6215, 0.6215, 0.2431)  4 Sc 2.92, 4 La 3.17
O (0.0000, 0.0000, 0.0000)  4 Sc 2.17

ρ   4.8 Mg/m³
DOS(E_F)   0.63 states/eV per atom
Raw formation energy   -1.429 eV/atom



A relaxed structure of La2SmScO6. Source: the Alexandria database, functional PBE-GGA.

Lattice parameters (Å, degrees): 5.8384 6.0504 8.4751 90.00 90.51 90.00
Last column: nearest neighbours and their distance in Å.
Fractional positions:
La (0.0165, 0.9507, 0.2515)  4 O 2.37-2.53
La (0.5165, 0.5493, 0.7515)  4 O 2.37-2.53
La (0.9835, 0.0493, 0.7485)  4 O 2.37-2.53
La (0.4835, 0.4507, 0.2485)  4 O 2.37-2.53
Sm (0.5000, 0.0000, 0.0000)  6 O 2.32-2.36
Sm (0.0000, 0.5000, 0.5000)  6 O 2.32-2.36
Sc (0.5000, 0.0000, 0.5000)  6 O 2.12-2.18
Sc (0.0000, 0.5000, 0.0000)  6 O 2.12-2.18
O (0.2933, 0.6858, 0.0640)  1 Sc 2.12, 1 Sm 2.32
O (0.7933, 0.8142, 0.5640)  1 Sc 2.12, 1 Sm 2.32
O (0.7067, 0.3142, 0.9360)  1 Sc 2.12, 1 Sm 2.32
O (0.2067, 0.1858, 0.4360)  1 Sc 2.12, 1 Sm 2.32
O (0.3172, 0.7066, 0.4294)  1 Sc 2.15, 1 Sm 2.32, 1 La 2.39
O (0.8172, 0.7934, 0.9294)  1 Sc 2.15, 1 Sm 2.32, 1 La 2.39
O (0.6828, 0.2934, 0.5706)  1 Sc 2.15, 1 Sm 2.32, 1 La 2.39
O (0.1828, 0.2066, 0.0706)  1 Sc 2.15, 1 Sm 2.32, 1 La 2.39
O (0.8740, 0.5566, 0.2381)  1 Sc 2.18, 1 Sm 2.36, 1 La 2.37
O (0.3740, 0.9434, 0.7381)  1 Sc 2.18, 1 Sm 2.36, 1 La 2.37
O (0.1260, 0.4434, 0.7619)  1 Sc 2.18, 1 Sm 2.36, 1 La 2.37
O (0.6260, 0.0566, 0.2619)  1 Sc 2.18, 1 Sm 2.36, 1 La 2.37

ρ   6.3 Mg/m³
DOS(E_F)   0.00 states/eV per atom
Raw formation energy   -3.435 eV/atom



A relaxed structure of LaSc2SnO. Source: the Alexandria database, functional PBE-GGA.

Lattice parameters (Å, degrees): 4.5511 4.5511 5.0071 90.00 90.00 90.00
Last column: nearest neighbours and their distance in Å.
Fractional positions:
Sc (0.0000, 0.5000, 0.0000)  2 O 2.28
Sc (0.5000, 0.0000, 0.0000)  2 O 2.28
Sn (0.5000, 0.5000, 0.5000)  4 La 3.22, 8 Sc 3.38
O (0.0000, 0.0000, 0.0000)  4 Sc 2.28, 2 La 2.50
La (0.0000, 0.0000, 0.5000)  2 O 2.50

ρ   5.8 Mg/m³
DOS(E_F)   1.10 states/eV per atom
Raw formation energy   -1.420 eV/atom



A relaxed structure of La2Sc2Sn2O. Source: the Alexandria database, functional PBE-GGA.

Lattice parameters (Å, degrees): 4.5020 4.5020 9.0507 104.40 104.40 90.00
Last column: nearest neighbours and their distance in Å.
Fractional positions:
La (0.1707, 0.1707, 0.3414)  1 O 2.89
La (0.8293, 0.8293, 0.6586)  1 O 2.89
Sc (0.0000, 0.5000, 0.0000)  2 O 2.25
Sc (0.5000, 0.0000, 0.0000)  2 O 2.25
Sn (0.3748, 0.3748, 0.7496)  4 Sc 3.09, 5 La 3.28-3.46
Sn (0.6252, 0.6252, 0.2504)  4 Sc 3.09, 5 La 3.28-3.46
O (0.0000, 0.0000, 0.0000)  4 Sc 2.25

ρ   6.0 Mg/m³
DOS(E_F)   0.66 states/eV per atom
Raw formation energy   -1.429 eV/atom



A relaxed structure of LaSc2TeO8. Source: the Alexandria database, functional PBE-GGA.

Lattice parameters (Å, degrees): 4.8088 4.8109 6.9456 90.00 90.00 90.25
Last column: nearest neighbours and their distance in Å.
Fractional positions:
La (0.0000, 0.0000, 0.5000)  6 O 2.28-2.43
Sc (0.5000, 0.5000, 0.7687)  6 O 2.10-2.17
Sc (0.5000, 0.5000, 0.2313)  6 O 2.10-2.17
Te (0.0000, 0.0000, 0.0000)  6 O 1.94-1.97
O (0.1930, 0.8066, 0.2059)  1 Te 1.94, 1 Sc 2.10
O (0.7098, 0.7104, 0.0000)  1 Te 1.97, 2 Sc 2.15
O (0.8070, 0.1934, 0.2059)  1 Te 1.94, 1 Sc 2.10
O (0.8070, 0.1934, 0.7941)  1 Te 1.94, 1 Sc 2.10
O (0.2902, 0.2896, 0.0000)  1 Te 1.97, 2 Sc 2.15
O (0.1930, 0.8066, 0.7941)  1 Te 1.94, 1 Sc 2.10
O (0.6635, 0.6641, 0.5000)  2 Sc 2.17, 1 O 2.22, 1 La 2.28
O (0.3365, 0.3359, 0.5000)  2 Sc 2.17, 1 O 2.22, 1 La 2.28

ρ   5.0 Mg/m³
DOS(E_F)   0.32 states/eV per atom
Raw formation energy   -2.460 eV/atom



A relaxed structure of LaScTe2O. Source: the Alexandria database, functional PBE-GGA.

Lattice parameters (Å, degrees): 4.1798 4.1798 15.1438 90.00 90.00 90.00
Last column: nearest neighbours and their distance in Å.
Fractional positions:
La (0.5000, 0.0000, 0.5784)  4 O 2.40
La (0.0000, 0.5000, 0.4216)  4 O 2.40
Sc (0.5000, 0.0000, 0.1154)  5 Te 2.71-2.98
Sc (0.0000, 0.5000, 0.8846)  5 Te 2.71-2.98
Te (0.0000, 0.5000, 0.7054)  1 Sc 2.71
Te (0.0000, 0.5000, 0.0881)  5 Sc 2.98-3.08
Te (0.5000, 0.0000, 0.9119)  5 Sc 2.98-3.08
Te (0.5000, 0.0000, 0.2946)  1 Sc 2.71
O (0.0000, 0.0000, 0.5000)  4 La 2.40
O (0.5000, 0.5000, 0.5000)  4 La 2.40

ρ   5.7 Mg/m³
DOS(E_F)   0.32 states/eV per atom
Raw formation energy   -2.065 eV/atom



A relaxed structure of LaScTe2O8. Source: the Alexandria database, functional PBE-GGA.

Lattice parameters (Å, degrees): 6.0561 6.0561 6.8100 90.00 90.00 120.00
Last column: nearest neighbours and their distance in Å.
Fractional positions:
La (0.0000, 0.0000, 0.5000)  6 O 2.50
Sc (0.0000, 0.0000, 0.0000)  6 O 2.11
Te (0.6667, 0.3333, 0.2494)  4 O 1.83-1.97
Te (0.3333, 0.6667, 0.7506)  4 O 1.83-1.97
O (0.8525, 0.1475, 0.2108)  1 Te 1.97, 1 Sc 2.11
O (0.8525, 0.7051, 0.2108)  1 Te 1.97, 1 Sc 2.11
O (0.2949, 0.1475, 0.2108)  1 Te 1.97, 1 Sc 2.11
O (0.7051, 0.8525, 0.7892)  1 Te 1.97, 1 Sc 2.11
O (0.3333, 0.6667, 0.4815)  1 Te 1.83
O (0.6667, 0.3333, 0.5185)  1 Te 1.83
O (0.1475, 0.8525, 0.7892)  1 Te 1.97, 1 Sc 2.11
O (0.1475, 0.2949, 0.7892)  1 Te 1.97, 1 Sc 2.11

ρ   4.4 Mg/m³
DOS(E_F)   0.31 states/eV per atom
Raw formation energy   -1.836 eV/atom



A relaxed structure of LaSc2TiO. Source: the Alexandria database, functional PBE-GGA.

Lattice parameters (Å, degrees): 5.2540 4.6142 5.2540 90.00 90.00 90.00
Last column: nearest neighbours and their distance in Å.
Fractional positions:
Sc (0.0000, 0.0000, 0.5000)  2 La 2.63
Sc (0.5000, 0.0000, 0.0000)  2 La 2.63
Ti (0.0000, 0.5000, 0.0000)  2 La 2.31
O (0.5000, 0.5000, 0.5000)  8 Sc 3.50, 4 Ti 3.72
La (0.0000, 0.0000, 0.0000)  2 Ti 2.31

Excess energy over the best structure of this formula in the dataset   2.4477 eV/atom
ρ   3.8 Mg/m³
DOS(E_F)   1.74 states/eV per atom
Raw formation energy   1.392 eV/atom